KCrTc2O8: optimized geometry, GGA+U.

The structure in extended XYZ format:
```
12
Lattice="-4.1469 -1.2554 3.2802 3.9710 -3.6083 -0.8624 3.9510 2.8901 6.1009" Properties=species:S:1:pos:R:3 pbc="T T T"
K 0.0000 0.0000 0.0000
Cr 1.9755 1.4450 3.0504
Tc -0.3737 -1.2591 3.5473
Tc 4.1488 -0.7146 4.9715
O 5.0296 -0.0703 6.3316
O 1.0659 -0.3929 2.9317
O -1.4459 -0.1361 4.4367
O -1.2545 -1.9034 2.1872
O 5.2210 -1.8375 4.0820
O 2.7092 -1.5807 5.5870
O 3.6570 0.6459 3.9185
O 0.1181 -2.6195 4.6003
```

* V: 16.67 Å³ per atom
* total magnetization: 5.1 μB per cell
* space group: P-3, No. 147
* mass density: 3.4 Mg/m³
* VASP energy: -7.293 eV/atom